No. 1
Density functional theory data (PBE-GGA) for an optimized crystal structure of CaTbZr.

Lattice parameters (Å, degrees): 3.431 3.431 8.201 102.08 102.08 90.00
Fractional coordinates of all 3 atoms:
Ca 0.009 0.009 0.017
Tb 0.315 0.315 0.629
Zr 0.677 0.677 0.354

Values from the calculation:
**Energy above the most stable polymorph in this dataset**: 0 meV per atom
**D(E_F)**: 1.094 states/eV per atom
**Formation enthalpy at 0 K**: 0.166 eV per atom



No. 2
Density functional theory data (PBE-GGA) for an optimized crystal structure of KCa2Cd2.

Lattice parameters (Å, degrees): 5.249 5.249 7.842 70.45 70.45 90.00
Fractional coordinates of all 5 atoms:
Ca 0.250 0.750 0.500
Ca 0.750 0.250 0.500
K 0.000 0.000 0.000
Cd 0.604 0.604 0.791
Cd 0.396 0.396 0.209

Values from the calculation:
**Energy above the most stable polymorph in this dataset**: 69 meV per atom
**D(E_F)**: 0.646 states/eV per atom
**Formation enthalpy at 0 K**: -0.088 eV per atom



No. 3
Density functional theory data (PBE-GGA) for an optimized crystal structure of AcAl2Zn.

Lattice parameters (Å, degrees): 4.715 6.068 7.077 90.00 90.00 112.86
Fractional coordinates of all 8 atoms:
Zn 0.280 0.561 0.184
Zn 0.280 0.561 0.816
Al 0.055 0.110 0.687
Al 0.857 0.714 0.000
Al 0.474 0.948 0.500
Al 0.055 0.110 0.313
Ac 0.560 0.120 0.000
Ac 0.767 0.534 0.500

Values from the calculation:
**D(E_F)**: 0.443 states/eV per atom
**Formation enthalpy at 0 K**: -0.285 eV per atom



Q: Among the records above, which one has the highest formation enthalpy at 0 K?
A: CaTbZr